No. 1
Compound: SrTeRhN2
Source: the Alexandria database
Functional: PBE-GGA
Structure: relaxed

Cell: 4.249 4.249 5.543 Å, 90.00 90.00 90.00°
Last column: magnetic moment on the atom in μB.
Positions (direct):
N: 0.500 0.000 0.000  0.88
Te: 0.000 0.000 0.500  0.04
N: 0.000 0.500 0.000  0.88
Rh: 0.000 0.000 0.000  0.57
Sr: 0.500 0.500 0.500  0.00

Output
- Polymorph energy (0 for the lowest one): 0.00 eV per formula unit
- Total magnetization: 3.20 μB per formula unit
- N(E_F): 0.75 states/eV per atom
- Volume: 100.1 Å³ per cell
- ΔE_f (raw): 0.58 eV/atom

=====

No. 2
Compound: Sr2TeRhN
Source: the Alexandria database
Functional: PBE-GGA
Structure: relaxed

Cell: 5.598 5.598 3.863 Å, 90.00 90.00 90.00°
Positions (direct):
Sr: 0.000 0.500 0.000
Rh: 0.000 0.000 0.500
Sr: 0.500 0.000 0.000
N: 0.000 0.000 0.000
Te: 0.500 0.500 0.500

Output
- Total magnetization: 0.00 μB per formula unit
- N(E_F): 0.58 states/eV per atom
- Volume: 121.1 Å³ per cell
- ΔE_f (raw): -0.89 eV/atom

=====

No. 3
Compound: Sr2TlRhN
Source: the Alexandria database
Functional: PBE-GGA
Structure: relaxed

Cell: 5.538 5.538 3.884 Å, 90.00 90.00 90.00°
Positions (direct):
Sr: 0.000 0.500 0.000
Rh: 0.000 0.000 0.500
N: 0.000 0.000 0.000
Tl: 0.500 0.500 0.500
Sr: 0.500 0.000 0.000

Output
- Polymorph energy (0 for the lowest one): 0.00 eV per formula unit
- Total magnetization: 0.00 μB per formula unit
- N(E_F): 0.71 states/eV per atom
- Volume: 119.1 Å³ per cell
- ΔE_f (raw): -0.45 eV/atom

=====

No. 4
Compound: Sr2TlRhN
Source: the Alexandria database
Functional: PBE-GGA
Structure: relaxed

Cell: 4.196 7.141 9.415 Å, 114.16 90.00 90.00°
Positions (direct):
Tl: 0.250 0.745 0.313
Rh: 0.750 0.485 0.250
Sr: 0.250 0.244 0.366
Rh: 0.250 0.515 0.750
N: 0.250 0.811 0.838
Sr: 0.250 0.202 0.972
Sr: 0.750 0.798 0.028
Sr: 0.750 0.756 0.634
N: 0.750 0.189 0.162
Tl: 0.750 0.255 0.687

Output
- Polymorph energy (0 for the lowest one): 0.34 eV per formula unit
- Total magnetization: 0.00 μB per formula unit
- N(E_F): 0.53 states/eV per atom
- Volume: 257.4 Å³ per cell
- ΔE_f (raw): -0.38 eV/atom